No. 1
Density functional theory data (PBE-GGA) for crystalline Ac5PmZn6 at its relaxed geometry.

Output
Formation energy from the elements, eV per atom: -0.253
Magnetic moment, μB/cell: 0.00

Geometry as CIF:
```
data_Ac5PmZn6
_chemical_formula_sum 'Ac5 Pm1 Zn6'
_space_group_name_H-M_alt 'P 1'
_space_group_IT_number 1
_cell_length_a 5.473
_cell_length_b 9.471
_cell_length_c 9.471
_cell_angle_alpha 119.99
_cell_angle_beta 106.83
_cell_angle_gamma 106.83
loop_
_space_group_symop_operation_xyz
'x,y,z'
loop_
_atom_site_label
_atom_site_type_symbol
_atom_site_fract_x
_atom_site_fract_y
_atom_site_fract_z
_atom_site_occupancy
Zn1 Zn 0.733 0.233 0.233 1
Zn2 Zn 0.759 0.920 0.598 1
Zn3 Zn 0.759 0.598 0.920 1
Zn4 Zn 0.241 0.402 0.080 1
Zn5 Zn 0.267 0.767 0.767 1
Zn6 Zn 0.241 0.080 0.402 1
Ac1 Ac 0.500 0.169 0.831 1
Ac2 Ac 0.000 0.666 0.334 1
Ac3 Ac 0.000 0.334 0.666 1
Ac4 Ac 0.500 0.500 0.500 1
Ac5 Ac 0.500 0.831 0.169 1
Pm1 Pm 0.000 0.000 0.000 1
```

***

No. 2
Density functional theory data (PBE-GGA) for crystalline AcPm2Zn at its relaxed geometry.

Output
E above lowest polymorph, eV/atom: 0.000
Formation energy from the elements, eV per atom: -0.136
Magnetic moment, μB/cell: 0.00

Geometry as CIF:
```
data_AcPm2Zn
_chemical_formula_sum 'Ac1 Pm2 Zn1'
_space_group_name_H-M_alt 'P 1'
_space_group_IT_number 1
_cell_length_a 3.746
_cell_length_b 3.746
_cell_length_c 9.003
_cell_angle_alpha 90.00
_cell_angle_beta 90.00
_cell_angle_gamma 90.00
loop_
_space_group_symop_operation_xyz
'x,y,z'
loop_
_atom_site_label
_atom_site_type_symbol
_atom_site_fract_x
_atom_site_fract_y
_atom_site_fract_z
_atom_site_occupancy
Pm1 Pm 0.000 0.000 0.196 1
Pm2 Pm 0.000 0.000 0.804 1
Ac1 Ac 0.500 0.500 0.500 1
Zn1 Zn 0.500 0.500 0.000 1
```

***

No. 3
Density functional theory data (PBE-GGA) for crystalline AcPm3Zn2 at its relaxed geometry.

Output
Formation energy from the elements, eV per atom: -0.204
Magnetic moment, μB/cell: 0.00

Geometry as CIF:
```
data_AcPm3Zn2
_chemical_formula_sum 'Ac1 Pm3 Zn2'
_space_group_name_H-M_alt 'P 1'
_space_group_IT_number 1
_cell_length_a 3.716
_cell_length_b 3.716
_cell_length_c 12.703
_cell_angle_alpha 90.00
_cell_angle_beta 90.00
_cell_angle_gamma 90.00
loop_
_space_group_symop_operation_xyz
'x,y,z'
loop_
_atom_site_label
_atom_site_type_symbol
_atom_site_fract_x
_atom_site_fract_y
_atom_site_fract_z
_atom_site_occupancy
Pm1 Pm 0.000 0.000 0.000 1
Pm2 Pm 0.000 0.000 0.280 1
Pm3 Pm 0.000 0.000 0.720 1
Zn1 Zn 0.500 0.500 0.859 1
Zn2 Zn 0.500 0.500 0.141 1
Ac1 Ac 0.500 0.500 0.500 1
```

***

No. 4
Density functional theory data (PBE-GGA) for crystalline AcPm2Zn at its relaxed geometry.

Output
E above lowest polymorph, eV/atom: 0.098
Formation energy from the elements, eV per atom: -0.038
Magnetic moment, μB/cell: 0.00

Geometry as CIF:
```
data_AcPm2Zn
_chemical_formula_sum 'Ac1 Pm2 Zn1'
_space_group_name_H-M_alt 'P 1'
_space_group_IT_number 1
_cell_length_a 3.790
_cell_length_b 3.790
_cell_length_c 10.884
_cell_angle_alpha 79.97
_cell_angle_beta 79.97
_cell_angle_gamma 60.00
loop_
_space_group_symop_operation_xyz
'x,y,z'
loop_
_atom_site_label
_atom_site_type_symbol
_atom_site_fract_x
_atom_site_fract_y
_atom_site_fract_z
_atom_site_occupancy
Zn1 Zn 0.000 0.000 0.000 1
Pm1 Pm 0.265 0.265 0.206 1
Pm2 Pm 0.735 0.735 0.794 1
Ac1 Ac 0.500 0.500 0.500 1
```

***

No. 5
Density functional theory data (PBE-GGA) for crystalline AcPmZn10 at its relaxed geometry.

Output
Formation energy from the elements, eV per atom: -0.277
Magnetic moment, μB/cell: 0.00

Geometry as CIF:
```
data_AcPmZn10
_chemical_formula_sum 'Ac1 Pm1 Zn10'
_space_group_name_H-M_alt 'P 1'
_space_group_IT_number 1
_cell_length_a 4.283
_cell_length_b 5.479
_cell_length_c 9.486
_cell_angle_alpha 90.00
_cell_angle_beta 90.00
_cell_angle_gamma 90.00
loop_
_space_group_symop_operation_xyz
'x,y,z'
loop_
_atom_site_label
_atom_site_type_symbol
_atom_site_fract_x
_atom_site_fract_y
_atom_site_fract_z
_atom_site_occupancy
Zn1 Zn 0.500 0.500 0.000 1
Zn2 Zn 0.000 0.000 0.659 1
Zn3 Zn 0.500 0.746 0.742 1
Zn4 Zn 0.500 0.254 0.742 1
Zn5 Zn 0.000 0.500 0.824 1
Zn6 Zn 0.500 0.254 0.258 1
Zn7 Zn 0.000 0.500 0.176 1
Zn8 Zn 0.500 0.746 0.258 1
Zn9 Zn 0.000 0.000 0.341 1
Zn10 Zn 0.500 0.000 0.500 1
Pm1 Pm 0.000 0.500 0.500 1
Ac1 Ac 0.000 0.000 0.000 1
```

***

No. 6
Density functional theory data (PBE-GGA) for crystalline Ac2PmZn3 at its relaxed geometry.

Output
Formation energy from the elements, eV per atom: -0.257
Magnetic moment, μB/cell: 0.00

Geometry as CIF:
```
data_Ac2PmZn3
_chemical_formula_sum 'Ac2 Pm1 Zn3'
_space_group_name_H-M_alt 'P 1'
_space_group_IT_number 1
_cell_length_a 3.827
_cell_length_b 3.827
_cell_length_c 11.482
_cell_angle_alpha 90.00
_cell_angle_beta 90.00
_cell_angle_gamma 90.00
loop_
_space_group_symop_operation_xyz
'x,y,z'
loop_
_atom_site_label
_atom_site_type_symbol
_atom_site_fract_x
_atom_site_fract_y
_atom_site_fract_z
_atom_site_occupancy
Zn1 Zn 0.000 0.000 0.356 1
Zn2 Zn 0.000 0.000 0.644 1
Zn3 Zn 0.000 0.000 0.000 1
Ac1 Ac 0.500 0.500 0.825 1
Ac2 Ac 0.500 0.500 0.175 1
Pm1 Pm 0.500 0.500 0.500 1
```